# 1
Compound: Ce3Tl3ZnS8
Source: Alexandria
Functional: GGA-PBE
Structure: relaxed

Geometry as POSCAR:
```
Ce3Tl3ZnS8
1.0
8.2682 0.0000 0.0000
-4.1341 6.8717 -0.0013
0.0000 -4.5216 7.4817
Ce Tl Zn S
3 3 1 8
Direct
0.5000 0.0000 0.5000
0.5000 0.5000 0.5000
0.0000 0.5000 0.5000
0.0000 0.0000 0.0000
0.0000 0.5000 0.0000
0.5000 0.5000 0.0000
0.0000 0.0000 0.5000
0.2640 0.5280 0.2969
0.7360 0.4720 0.7031
0.7971 0.5943 0.3256
0.2029 0.4057 0.6744
0.7587 0.0389 0.3000
0.2413 0.9611 0.7000
0.2803 0.0389 0.3000
0.7197 0.9611 0.7000
```

Summary:
**Energy relative to the elements, uncorrected**: -1.2057 eV per atom
**Energy**: -5.152 eV per atom
**SG**: No. 12
**DOS(E_F)**: 13.70 states/eV/cell

***

# 2
Compound: Li3Ga9Pt2
Source: Alexandria
Functional: GGA-PBE
Structure: relaxed

Geometry as POSCAR:
```
Li3Ga9Pt2
1.0
4.1323 0.0000 0.0000
2.0662 7.6343 -0.2641
2.0662 1.4733 7.4955
Li Ga Pt
3 9 2
Direct
0.0000 0.0000 0.0000
0.7087 0.2913 0.2913
0.2913 0.7087 0.7087
0.0000 0.5000 0.5000
0.6353 0.9915 0.7379
0.3647 0.0085 0.2621
0.6353 0.7379 0.9915
0.3647 0.2621 0.0085
0.8519 0.8610 0.4351
0.1481 0.1390 0.5649
0.8519 0.4351 0.8610
0.1481 0.5649 0.1390
0.5000 0.3409 0.6591
0.5000 0.6591 0.3409
```

Summary:
**Energy**: -3.588 eV per atom
**SG**: No. 71
**Formation energy from the elements**: -368.6 meV per atom
**DOS(E_F)**: 2.99 states/eV/cell